Record 1
In2CuSb2Au7 (PBE-GGA, relaxed); space group = C2/m, No. 12; total DFT energy (no corrections) = -3.420 eV/atom
1.0
4.090 0.044 0.139
0.049 4.090 0.139
2.464 2.461 16.189
Au Sb In Cu
7 2 2 1
Direct
0.811 0.811 0.579
0.904 0.403 0.128
0.096 0.597 0.872
0.403 0.904 0.128
0.597 0.096 0.872
0.189 0.189 0.421
0.500 0.500 0.000
0.306 0.306 0.582
0.694 0.694 0.418
0.688 0.688 0.747
0.312 0.312 0.253
0.000 0.000 0.000

***

Record 2
NdHoMn (PBE-GGA, relaxed); space group = I4mm, No. 107; total DFT energy (no corrections) = -5.978 eV/atom; formation energy = 0.1936 eV/atom
1.0
3.542 0.000 0.000
0.000 3.542 0.000
-1.771 -1.771 6.424
Ho Nd Mn
1 1 1
Direct
0.301 0.301 0.603
0.027 0.027 0.054
0.671 0.671 0.343

***

Record 3
Nd3Ho8Sc3 (PBE-GGA, relaxed); space group = Immm, No. 71; total DFT energy (no corrections) = -4.612 eV/atom; formation energy = 0.3826 eV/atom
1.0
-5.389 0.534 -0.039
-3.638 -9.015 3.109
-2.987 -1.979 9.557
Nd Ho Sc
3 8 3
Direct
0.000 0.259 0.741
0.000 0.741 0.259
0.500 0.000 0.000
0.201 0.142 0.456
0.799 0.858 0.544
0.375 0.884 0.366
0.375 0.366 0.884
0.201 0.456 0.142
0.625 0.634 0.116
0.625 0.116 0.634
0.799 0.544 0.858
0.172 0.828 0.828
0.500 0.500 0.500
0.828 0.172 0.172

***

Record 4
Ac2Nd5Ho5 (PBE-GGA, relaxed); space group = C2/m, No. 12; total DFT energy (no corrections) = -4.490 eV/atom; formation energy = 0.0888 eV/atom
1.0
-2.558 -2.243 4.729
-4.064 -5.340 -1.143
6.846 -9.763 2.662
Nd Ho Ac
5 5 2
Direct
0.000 0.000 0.000
0.751 0.258 0.240
0.249 0.742 0.760
0.780 0.907 0.534
0.220 0.093 0.466
0.706 0.626 0.962
0.294 0.374 0.038
0.544 0.116 0.796
0.500 0.500 0.500
0.456 0.884 0.204
0.048 0.607 0.298
0.952 0.393 0.702

***

Record 5
Ho2GaNi (PBE-GGA, relaxed); space group = P4/mmm, No. 123; total DFT energy (no corrections) = -4.990 eV/atom; formation energy = -0.4987 eV/atom
1.0
-3.163 0.681 -1.078
0.951 -0.660 -3.208
-1.783 -6.876 0.887
Ga Ni Ho
1 1 2
Direct
0.500 0.500 0.500
0.500 0.500 0.000
0.000 0.000 0.230
0.000 0.000 0.770

***

Record 6
KY2Pb2 (PBE-GGA, relaxed); space group = I4/mmm, No. 139; relative energy among the computed polymorphs = 0.967 eV/f.u.; total DFT energy (no corrections) = -4.435 eV/atom; formation energy = -0.1462 eV/atom
1.0
-1.393 -3.024 4.165
5.021 -1.747 0.412
3.236 2.681 6.443
K Pb Y
1 2 2
Direct
0.000 0.000 0.000
0.621 0.621 0.758
0.379 0.379 0.242
0.750 0.250 0.500
0.250 0.750 0.500

***

Record 7
ScBeRe2 (PBE-GGA, relaxed); space group = I-42d, No. 122; total DFT energy (no corrections) = -8.254 eV/atom; formation energy = 0.4842 eV/atom
1.0
-0.517 3.644 -0.909
-1.621 -1.044 -3.264
-9.257 1.162 2.023
Be Re Sc
2 4 2
Direct
0.500 0.500 0.000
0.250 0.750 0.500
0.578 0.625 0.250
0.875 0.422 0.750
0.172 0.125 0.250
0.375 0.828 0.750
0.750 0.250 0.500
0.000 0.000 0.000

***

Record 8
FeSbTe2N (PBE-GGA, relaxed); space group = P4/mmm, No. 123; relative energy among the computed polymorphs = 4.297 eV/f.u.; total DFT energy (no corrections) = -4.313 eV/atom
1.0
-4.036 -2.153 0.592
-0.241 -0.796 -4.537
2.244 -4.044 0.591
N Te Sb Fe
1 2 1 1
Direct
0.000 0.000 0.000
0.000 0.500 0.000
0.500 0.000 0.000
0.000 0.000 0.500
0.500 0.500 0.500

***

Record 9
NdTmInRu (PBE-GGA, relaxed); space group = F-43m, No. 216; total DFT energy (no corrections) = -5.585 eV/atom; formation energy = -0.2719 eV/atom
1.0
5.116 0.000 0.000
2.558 4.430 0.000
2.558 1.477 4.177
Nd Ru Tm In
1 1 1 1
Direct
0.000 0.000 0.000
0.250 0.250 0.250
0.500 0.500 0.500
0.750 0.750 0.750

***

Record 10
ZrF (PBE-GGA, relaxed); space group = P4_2/mnm, No. 136; relative energy among the computed polymorphs = 1.402 eV/f.u.; total DFT energy (no corrections) = -6.768 eV/atom
1.0
-4.605 -2.522 3.045
-0.098 -4.601 -3.958
2.413 -1.863 2.106
Zr F
4 4
Direct
0.231 0.769 0.500
0.769 0.231 0.500
0.269 0.269 0.000
0.731 0.731 0.000
0.130 0.130 0.500
0.370 0.630 0.000
0.630 0.370 0.000
0.870 0.870 0.500

***

Record 11
ScCrI6 (PBE-GGA, relaxed); space group = C2/m, No. 12; relative energy among the computed polymorphs = 0.000 eV/f.u.; total DFT energy (no corrections) = -3.967 eV/atom
1.0
-6.289 0.429 -4.537
2.135 -6.767 3.156
-3.831 1.402 5.506
I Cr Sc
6 1 1
Direct
0.290 0.290 0.739
0.289 0.002 0.267
0.711 0.998 0.733
0.002 0.289 0.267
0.998 0.711 0.733
0.710 0.710 0.261
0.000 0.000 0.500
0.000 0.000 0.000

***

Record 12
Sr2TaSi (PBE-GGA, relaxed); space group = I-42d, No. 122; total DFT energy (no corrections) = -4.506 eV/atom
1.0
-8.794 -2.315 -6.739
6.046 -8.089 -5.110
-2.204 -6.867 -4.270
Sr Si Ta
4 2 2
Direct
0.875 0.718 0.750
0.375 0.532 0.750
0.468 0.125 0.250
0.282 0.625 0.250
0.500 0.500 0.000
0.250 0.750 0.500
0.000 0.000 0.000
0.750 0.250 0.500

***

Record 13
LaTbGd (PBE-GGA, relaxed); space group = P3m1, No. 156; total DFT energy (no corrections) = -7.860 eV/atom; formation energy = 0.0199 eV/atom
1.0
-0.802 -2.180 2.803
2.498 -1.021 -2.444
6.313 3.886 4.829
Gd La Tb
1 1 1
Direct
0.000 0.000 0.005
0.333 0.667 0.665
0.667 0.333 0.330

***

Record 14
VTcSe2 (PBE-GGA, relaxed); space group = I-42d, No. 122; relative energy among the computed polymorphs = 0.279 eV/f.u.; total DFT energy (no corrections) = -6.568 eV/atom
1.0
5.543 0.000 0.000
0.000 5.543 0.000
2.772 2.772 5.753
Se V Tc
4 2 2
Direct
0.375 0.370 0.750
0.630 0.125 0.250
0.120 0.625 0.250
0.875 0.880 0.750
0.250 0.750 0.500
0.500 0.500 0.000
0.750 0.250 0.500
0.000 0.000 0.000

***

Record 15
NaCdInCu (PBE-GGA, relaxed); space group = F-43m, No. 216; total DFT energy (no corrections) = -2.208 eV/atom; formation energy = 0.0592 eV/atom
1.0
-1.729 -3.748 2.558
2.375 -1.552 3.941
-1.882 0.736 4.416
Cd In Na Cu
1 1 1 1
Direct
0.750 0.750 0.750
0.250 0.250 0.250
0.500 0.500 0.500
0.000 0.000 0.000

***

Record 16
CsZnBiAs2 (PBE-GGA, relaxed); space group = P4/mmm, No. 123; relative energy among the computed polymorphs = 4.231 eV/f.u.; total DFT energy (no corrections) = -1.668 eV/atom; formation energy = 1.3938 eV/atom
1.0
5.751 0.000 0.000
0.000 5.690 0.000
0.000 0.000 5.751
As Zn Bi Cs
2 1 1 1
Direct
0.000 0.000 0.500
0.500 0.000 0.000
0.000 0.500 0.000
0.500 0.500 0.500
0.000 0.000 0.000

***

Record 17
Np2Hg2Br7 (PBE-GGA, relaxed); space group = C2/m, No. 12; total DFT energy (no corrections) = -4.450 eV/atom
1.0
-4.162 7.102 -2.391
-0.261 1.313 7.448
6.340 3.443 2.285
Br Np Hg
7 2 2
Direct
0.804 0.563 0.563
0.796 0.068 0.500
0.204 0.500 0.932
0.796 0.500 0.068
0.000 0.000 0.000
0.196 0.437 0.437
0.204 0.932 0.500
0.033 0.238 0.238
0.967 0.762 0.762
0.500 0.194 0.806
0.500 0.806 0.194

***

Record 18
AlZn2Os (PBE-GGA, relaxed); space group = P4/mmm, No. 123; total DFT energy (no corrections) = -4.397 eV/atom; formation energy = -0.0169 eV/atom
1.0
-1.372 -2.678 -2.683
1.008 -2.797 2.275
-3.373 0.103 1.621
Zn Al Os
2 1 1
Direct
0.000 0.000 0.000
0.000 0.500 0.500
0.500 0.500 0.000
0.500 0.000 0.500

***

Record 19
Sm2PRh (PBE-GGA, relaxed); space group = R-3m, No. 166; total DFT energy (no corrections) = -6.505 eV/atom; formation energy = -0.9549 eV/atom
1.0
4.066 0.000 0.000
2.033 3.521 0.000
2.033 1.174 6.835
Sm P Rh
2 1 1
Direct
0.750 0.750 0.751
0.250 0.250 0.249
0.000 0.000 0.000
0.500 0.500 0.500

***

Record 20
LiLaW2 (PBE-GGA, relaxed); space group = F-43m, No. 216; relative energy among the computed polymorphs = 0.772 eV/f.u.; total DFT energy (no corrections) = -7.544 eV/atom; formation energy = 0.6425 eV/atom
1.0
-0.622 -3.509 -3.133
2.775 -0.273 -3.840
3.225 -3.463 -0.356
Li W La
1 2 1
Direct
0.750 0.750 0.750
0.000 0.000 0.000
0.250 0.250 0.250
0.500 0.500 0.500